DFT (PBE) results for a relaxed EuDy2Lu crystal.

Summary:
Total moment in Bohr magnetons per cell: 23.560
Energy of formation from the pure elements in eV per atom: 0.160

a = 3.5090 Å, b = 3.5090 Å, c = 37.2840 Å
α = 90.00°, β = 90.00°, γ = 120.00°
Space group R-3m (No. 166, hexagonal axes)
Symmetry-distinct sites (fractional):
Eu (0.0000, 0.0000, 0.0000) x3
Dy (0.0000, 0.0000, 0.0920) x6
Lu (0.0000, 0.0000, 0.5000) x3

DFT (PBE) results for a relaxed Sm2Y2Sc5 crystal.

Summary:
Total moment in Bohr magnetons per cell: 0.000
Energy of formation from the pure elements in eV per atom: 0.260

a = 14.7328 Å, b = 8.3370 Å, c = 8.6236 Å
α = 90.00°, β = 90.00°, γ = 90.00°
Space group Ima2 (No. 46)
Symmetry-distinct sites (fractional):
Sm (0.0000, 0.0000, 0.0000) x4
Sm (0.2500, 0.0117, 0.0052) x4
Y (0.1266, 0.5071, 0.8615) x8
Sc (0.0484, 0.6685, 0.1732) x8
Sc (0.1494, 0.1651, 0.6948) x8
Sc (0.2500, 0.6699, 0.1708) x4

DFT (PBE) results for a relaxed LiRePt crystal.

Summary:
Total moment in Bohr magnetons per cell: 0.000
Energy of formation from the pure elements in eV per atom: -0.044

a = 2.6939 Å, b = 4.0622 Å, c = 8.0619 Å
α = 90.00°, β = 97.10°, γ = 90.00°
Space group Pm (No. 6)
Symmetry-distinct sites (fractional):
Li (0.0000, 0.0000, 0.0000) x1
Li (0.0218, 0.5000, 0.1578) x1
Re (0.3393, 0.5000, 0.4952) x1
Re (0.6139, 0.0000, 0.3425) x1
Pt (0.4412, 0.5000, 0.8579) x1
Pt (0.8722, 0.0000, 0.6774) x1

DFT (PBE) results for a relaxed KIr2O8 crystal.

Summary:
Raw total energy in eV/atom: -5.573
Total moment in Bohr magnetons per cell: 4.429

a = 4.7298 Å, b = 4.7298 Å, c = 6.9147 Å
α = 90.00°, β = 90.00°, γ = 90.00°
Space group P4/mmm (No. 123)
Symmetry-distinct sites (fractional):
K (0.0000, 0.0000, 0.0000) x1
Ir (0.0000, 0.5000, 0.5000) x2
O (0.2501, 0.2501, 0.3293) x8

DFT (PBE) results for a relaxed Ba2NaMgZn crystal.

Summary:
Total moment in Bohr magnetons per cell: 0.000
Energy of formation from the pure elements in eV per atom: 0.114

a = 6.4466 Å, b = 6.4466 Å, c = 5.4824 Å
α = 90.00°, β = 90.00°, γ = 90.00°
Space group P4/mmm (No. 123)
Symmetry-distinct sites (fractional):
Ba (0.0000, 0.5000, 0.0000) x2
Na (0.0000, 0.0000, 0.5000) x1
Mg (0.5000, 0.5000, 0.5000) x1
Zn (0.0000, 0.0000, 0.0000) x1

DFT (PBE) results for a relaxed AcPrCdHg crystal.

Summary:
Total moment in Bohr magnetons per cell: 3.095
Energy of formation from the pure elements in eV per atom: -0.369

a = 7.9434 Å, b = 7.9434 Å, c = 7.9434 Å
α = 90.00°, β = 90.00°, γ = 90.00°
Space group F-43m (No. 216)
Symmetry-distinct sites (fractional):
Ac (0.0000, 0.0000, 0.0000) x4
Pr (0.0000, 0.0000, 0.5000) x4
Cd (0.2500, 0.2500, 0.2500) x4
Hg (0.2500, 0.2500, 0.7500) x4

DFT (PBE) results for a relaxed LaMnTl4 crystal.

Summary:
Total moment in Bohr magnetons per cell: 15.142
Energy of formation from the pure elements in eV per atom: 0.277

a = 8.8665 Å, b = 8.8665 Å, c = 8.8665 Å
α = 90.00°, β = 90.00°, γ = 90.00°
Space group F-43m (No. 216)
Symmetry-distinct sites (fractional):
La (0.0000, 0.0000, 0.0000) x4
Mn (0.2500, 0.2500, 0.7500) x4
Tl (0.1247, 0.1247, 0.3753) x16

DFT (PBE) results for a relaxed Cs2PdS crystal.

Summary:
Raw total energy in eV/atom: -2.849
Total moment in Bohr magnetons per cell: 0.000

a = 8.1656 Å, b = 8.1656 Å, c = 8.1656 Å
α = 90.00°, β = 90.00°, γ = 90.00°
Space group Fm-3m (No. 225)
Symmetry-distinct sites (fractional):
Cs (0.2500, 0.2500, 0.2500) x8
Pd (0.0000, 0.0000, 0.0000) x4
S (0.0000, 0.0000, 0.5000) x4

DFT (PBE) results for a relaxed NaNb3Ge crystal.

Summary:
Total moment in Bohr magnetons per cell: 0.000
Energy of formation from the pure elements in eV per atom: 1.929

a = 4.6488 Å, b = 4.6488 Å, c = 4.6488 Å
α = 90.00°, β = 90.00°, γ = 90.00°
Space group Pm-3m (No. 221)
Symmetry-distinct sites (fractional):
Na (0.0000, 0.0000, 0.0000) x1
Nb (0.0000, 0.0000, 0.5000) x3
Ge (0.5000, 0.5000, 0.5000) x1

DFT (PBE) results for a relaxed HoPu3Pt8 crystal.

Summary:
Total moment in Bohr magnetons per cell: 47.342
Energy of formation from the pure elements in eV per atom: -0.913

a = 5.4468 Å, b = 5.4468 Å, c = 26.6844 Å
α = 90.00°, β = 90.00°, γ = 120.00°
Space group R3m (No. 160, hexagonal axes)
Symmetry-distinct sites (fractional):
Ho (0.0000, 0.0000, 0.0000) x3
Pu (0.0000, 0.0000, 0.1260) x3
Pu (0.0000, 0.0000, 0.4980) x3
Pu (0.0000, 0.0000, 0.6221) x3
Pt (0.0000, 0.0000, 0.3114) x3
Pt (0.0000, 0.0000, 0.8112) x3
Pt (0.0010, 0.5005, 0.5621) x9
Pt (0.1672, 0.3343, 0.3940) x9

DFT (PBE) results for a relaxed KBa2FeTe crystal.

Summary:
Raw total energy in eV/atom: -3.337
Total moment in Bohr magnetons per cell: 1.540

a = 6.2224 Å, b = 6.2224 Å, c = 5.0844 Å
α = 90.00°, β = 90.00°, γ = 90.00°
Space group P4/mmm (No. 123)
Symmetry-distinct sites (fractional):
K (0.0000, 0.0000, 0.0000) x1
Ba (0.0000, 0.5000, 0.5000) x2
Fe (0.5000, 0.5000, 0.5000) x1
Te (0.5000, 0.5000, 0.0000) x1

DFT (PBE) results for a relaxed Be3CoMo crystal.

Summary:
Total moment in Bohr magnetons per cell: 1.350
Energy of formation from the pure elements in eV per atom: 1.581

a = 4.1778 Å, b = 4.1778 Å, c = 4.1778 Å
α = 90.00°, β = 90.00°, γ = 90.00°
Space group Pm-3m (No. 221)
Symmetry-distinct sites (fractional):
Be (0.0000, 0.0000, 0.5000) x3
Co (0.5000, 0.5000, 0.5000) x1
Mo (0.0000, 0.0000, 0.0000) x1

DFT (PBE) results for a relaxed Sm3Ga2SnPd9 crystal.

Summary:
Total moment in Bohr magnetons per cell: 0.000
Energy of formation from the pure elements in eV per atom: -0.592

a = 5.6936 Å, b = 5.6936 Å, c = 11.7865 Å
α = 90.00°, β = 90.00°, γ = 120.00°
Space group P-3m1 (No. 164)
Symmetry-distinct sites (fractional):
Sm (0.0000, 0.0000, 0.0000) x1
Sm (0.3333, 0.6667, 0.7592) x2
Ga (0.3333, 0.6667, 0.1627) x2
Sn (0.0000, 0.0000, 0.5000) x1
Pd (0.0000, 0.5000, 0.0000) x3
Pd (0.1653, 0.3307, 0.3205) x6

DFT (PBE) results for a relaxed PmGa3Au3 crystal.

Summary:
Total moment in Bohr magnetons per cell: 0.000
Energy of formation from the pure elements in eV per atom: -0.136

a = 7.0114 Å, b = 7.0114 Å, c = 7.0114 Å
α = 90.00°, β = 90.00°, γ = 90.00°
Space group Pm-3n (No. 223)
Symmetry-distinct sites (fractional):
Pm (0.0000, 0.0000, 0.0000) x2
Ga (0.0000, 0.2500, 0.5000) x6
Au (0.0000, 0.5000, 0.2500) x6

DFT (PBE) results for a relaxed Rb3YTm2O6 crystal.

Summary:
Raw total energy in eV/atom: -6.726
Total moment in Bohr magnetons per cell: 0.000

a = 6.0164 Å, b = 10.4207 Å, c = 6.8482 Å
α = 90.00°, β = 107.03°, γ = 90.00°
Space group C2/m (No. 12)
Symmetry-distinct sites (fractional):
Rb (0.0000, 0.0000, 0.0000) x2
Rb (0.0000, 0.3331, 0.0000) x4
Y (0.0000, 0.5000, 0.5000) x2
Tm (0.0000, 0.1666, 0.5000) x4
O (0.2198, 0.0000, 0.6738) x4
O (0.2270, 0.3310, 0.6739) x8

DFT (PBE) results for a relaxed Hf3Co2Cu3 crystal.

Summary:
Total moment in Bohr magnetons per cell: 0.000
Energy of formation from the pure elements in eV per atom: -0.250

a = 6.6986 Å, b = 6.6986 Å, c = 3.2029 Å
α = 90.00°, β = 90.00°, γ = 120.00°
Space group P-62m (No. 189)
Symmetry-distinct sites (fractional):
Hf (0.0000, 0.4126, 0.0000) x3
Co (0.3333, 0.6667, 0.5000) x2
Cu (0.0000, 0.7758, 0.5000) x3

DFT (PBE) results for a relaxed NaMnSe2 crystal.

Summary:
Raw total energy in eV/atom: -5.064
Total moment in Bohr magnetons per cell: 12.006

a = 3.7857 Å, b = 3.7857 Å, c = 21.1169 Å
α = 90.00°, β = 90.00°, γ = 120.00°
Space group R3m (No. 160, hexagonal axes)
Symmetry-distinct sites (fractional):
Na (0.0000, 0.0000, 0.0000) x3
Mn (0.0000, 0.0000, 0.8326) x3
Se (0.0000, 0.0000, 0.2334) x3
Se (0.0000, 0.0000, 0.4323) x3

DFT (PBE) results for a relaxed YSi3C crystal.

Summary:
Raw total energy in eV/atom: -3.883
Total moment in Bohr magnetons per cell: 1.111

a = 5.3631 Å, b = 5.3631 Å, c = 5.3631 Å
α = 90.00°, β = 90.00°, γ = 90.00°
Space group Pm-3m (No. 221)
Symmetry-distinct sites (fractional):
Y (0.0000, 0.0000, 0.0000) x1
Si (0.0000, 0.0000, 0.5000) x3
C (0.5000, 0.5000, 0.5000) x1

DFT (PBE) results for a relaxed SbH2Cl4 crystal.

Summary:
Raw total energy in eV/atom: -3.038
Total moment in Bohr magnetons per cell: 0.000

a = 11.4829 Å, b = 4.8118 Å, c = 6.8991 Å
α = 90.00°, β = 91.42°, γ = 90.00°
Space group C2/m (No. 12)
Symmetry-distinct sites (fractional):
Sb (0.0000, 0.0000, 0.0000) x2
H (0.2490, 0.0000, 0.2440) x4
Cl (0.1096, 0.5000, 0.8646) x4
Cl (0.1394, 0.0000, 0.3303) x4

DFT (PBE) results for a relaxed SrLiTc2 crystal.

Summary:
Total moment in Bohr magnetons per cell: 0.000
Energy of formation from the pure elements in eV per atom: 0.698

a = 3.3362 Å, b = 4.2357 Å, c = 5.1391 Å
α = 90.00°, β = 90.00°, γ = 90.00°
Space group Pmmm (No. 47)
Symmetry-distinct sites (fractional):
Sr (0.0000, 0.0000, 0.0000) x1
Li (0.5000, 0.5000, 0.0000) x1
Tc (0.0000, 0.5000, 0.5000) x1
Tc (0.5000, 0.0000, 0.5000) x1